(1)
VASP calculation (GGA-PBE) on a relaxed Tb5Pu3H12 crystal.

a = 11.3286 Å, b = 11.3286 Å, c = 11.3286 Å
α = 109.47°, β = 109.47°, γ = 109.47°
Fractional positions:
Tb1 0.0000 0.0000 0.0000
Tb2 0.0000 0.0000 0.5000
Tb3 0.0000 0.5000 0.0000
Tb4 0.0000 0.5000 0.5000
Tb5 0.1250 0.7500 0.8750
Tb6 0.1250 0.8750 0.2500
Tb7 0.2500 0.1250 0.8750
Tb8 0.2500 0.6250 0.3750
Tb9 0.3750 0.2500 0.6250
Tb10 0.3750 0.6250 0.7500
Tb11 0.5000 0.0000 0.0000
Tb12 0.5000 0.0000 0.5000
Tb13 0.5000 0.5000 0.0000
Tb14 0.5000 0.5000 0.5000
Tb15 0.6250 0.3750 0.2500
Tb16 0.6250 0.7500 0.3750
Tb17 0.7500 0.3750 0.6250
Tb18 0.7500 0.8750 0.1250
Tb19 0.8750 0.1250 0.7500
Tb20 0.8750 0.2500 0.1250
Pu1 0.1250 0.2500 0.3750
Pu2 0.1250 0.3750 0.7500
Pu3 0.2500 0.3750 0.1250
Pu4 0.2500 0.8750 0.6250
Pu5 0.3750 0.1250 0.2500
Pu6 0.3750 0.7500 0.1250
Pu7 0.6250 0.2500 0.8750
Pu8 0.6250 0.8750 0.7500
Pu9 0.7500 0.1250 0.3750
Pu10 0.7500 0.6250 0.8750
Pu11 0.8750 0.6250 0.2500
Pu12 0.8750 0.7500 0.6250
H1 0.0667 0.2268 0.1492
H2 0.0667 0.3399 0.9176
H3 0.0777 0.7268 0.6601
H4 0.0777 0.8508 0.4176
H5 0.0824 0.6492 0.4223
H6 0.0824 0.9333 0.6601
H7 0.1492 0.0667 0.2268
H8 0.1492 0.5824 0.9223
H9 0.1601 0.2268 0.5777
H10 0.1601 0.4333 0.5824
H11 0.2268 0.1492 0.0667
H12 0.2268 0.5777 0.1601
H13 0.2732 0.3399 0.9223
H14 0.2732 0.4333 0.3508
H15 0.3399 0.9176 0.0667
H16 0.3399 0.9223 0.2732
H17 0.3508 0.2732 0.4333
H18 0.3508 0.5777 0.9176
H19 0.4176 0.0777 0.8508
H20 0.4176 0.8399 0.5667
H21 0.4223 0.0824 0.6492
H22 0.4223 0.8399 0.7732
H23 0.4333 0.3508 0.2732
H24 0.4333 0.5824 0.1601
H25 0.5667 0.4176 0.8399
H26 0.5667 0.6492 0.7268
H27 0.5777 0.1601 0.2268
H28 0.5777 0.9176 0.3508
H29 0.5824 0.1601 0.4333
H30 0.5824 0.9223 0.1492
H31 0.6492 0.4223 0.0824
H32 0.6492 0.7268 0.5667
H33 0.6601 0.0777 0.7268
H34 0.6601 0.0824 0.9333
H35 0.7268 0.5667 0.6492
H36 0.7268 0.6601 0.0777
H37 0.7732 0.4223 0.8399
H38 0.7732 0.8508 0.9333
H39 0.8399 0.5667 0.4176
H40 0.8399 0.7732 0.4223
H41 0.8508 0.4176 0.0777
H42 0.8508 0.9333 0.7732
H43 0.9176 0.0667 0.3399
H44 0.9176 0.3508 0.5777
H45 0.9223 0.1492 0.5824
H46 0.9223 0.2732 0.3399
H47 0.9333 0.6601 0.0824
H48 0.9333 0.7732 0.8508

Computed properties:
As for the final energy: -5.68 eV per atom. The density of states at the Fermi level is 110.75 states/eV per cell. Its space-group type is Ia-3d.

=====

(2)
VASP calculation (GGA-PBE) on a relaxed Tb2PuH8 crystal.

a = 6.3382 Å, b = 6.3382 Å, c = 6.3382 Å
α = 146.58°, β = 130.33°, γ = 61.19°
Fractional positions:
Tb1 0.1709 0.1709 0.0000
Tb2 0.8291 0.8291 0.0000
Pu1 0.5000 0.5000 0.0000
H1 0.0746 0.3388 0.7358
H2 0.2262 0.0000 0.2262
H3 0.3444 0.8444 0.5000
H4 0.3971 0.6612 0.7358
H5 0.6029 0.3388 0.2642
H6 0.6556 0.1556 0.5000
H7 0.7738 0.0000 0.7738
H8 0.9254 0.6612 0.2642

Computed properties:
As for the final energy: -5.14 eV per atom. The density of states at the Fermi level is 8.81 states/eV per cell. Its space-group type is Immm.

=====

(3)
VASP calculation (GGA-PBE) on a relaxed PuTcH3 crystal.

a = 3.6808 Å, b = 3.6808 Å, c = 3.6808 Å
α = 90.00°, β = 90.00°, γ = 90.00°
Fractional positions:
Pu1 0.0000 0.0000 0.0000
Tc1 0.5000 0.5000 0.5000
H1 0.0000 0.5000 0.5000
H2 0.5000 0.0000 0.5000
H3 0.5000 0.5000 0.0000

Computed properties:
The energy above the lowest structure with this stoichiometry is 0.000 eV/atom. As for the final energy: -7.15 eV per atom. The density of states at the Fermi level is 10.27 states/eV per cell. Its space-group type is Pm-3m.

=====

(4)
VASP calculation (GGA-PBE) on a relaxed Pu2TcH8 crystal.

a = 6.3049 Å, b = 6.3049 Å, c = 6.3049 Å
α = 147.00°, β = 137.19°, γ = 55.09°
Fractional positions:
Pu1 0.1650 0.1650 0.0000
Pu2 0.8350 0.8350 0.0000
Tc1 0.5000 0.5000 0.0000
H1 0.1492 0.3691 0.7801
H2 0.2756 0.7756 0.5000
H3 0.3035 0.0000 0.3035
H4 0.4110 0.6309 0.7801
H5 0.5890 0.3691 0.2199
H6 0.6965 0.0000 0.6965
H7 0.7244 0.2244 0.5000
H8 0.8508 0.6309 0.2199

Computed properties:
As for the final energy: -6.19 eV per atom. The density of states at the Fermi level is 19.64 states/eV per cell. Its space-group type is Immm.

=====

(5)
VASP calculation (GGA-PBE) on a relaxed PuTcH crystal.

a = 6.4748 Å, b = 6.4748 Å, c = 3.8524 Å
α = 93.41°, β = 93.41°, γ = 33.23°
Fractional positions:
Pu1 0.1284 0.1284 0.2201
Pu2 0.8716 0.8716 0.7799
Tc1 0.4114 0.4114 0.2374
Tc2 0.5886 0.5886 0.7626
H1 0.2981 0.2981 0.4949
H2 0.7019 0.7019 0.5051

Computed properties:
As for the final energy: -9.32 eV per atom. The density of states at the Fermi level is 12.40 states/eV per cell. Its space-group type is C2/m.

=====

(6)
VASP calculation (GGA-PBE) on a relaxed PuTcH5 crystal.

a = 4.4503 Å, b = 4.4503 Å, c = 4.4503 Å
α = 130.84°, β = 113.93°, γ = 86.59°
Fractional positions:
Pu1 0.0000 0.0000 0.0000
Tc1 0.5000 0.5000 0.0000
H1 0.0482 0.3278 0.7205
H2 0.3927 0.6722 0.7205
H3 0.5000 0.0000 0.5000
H4 0.6073 0.3278 0.2795
H5 0.9518 0.6722 0.2795

Computed properties:
As for the final energy: -6.05 eV per atom. The density of states at the Fermi level is 7.42 states/eV per cell. Its space-group type is Immm.

=====

(7)
VASP calculation (GGA-PBE) on a relaxed Pu2TcH6 crystal.

a = 5.0904 Å, b = 5.0904 Å, c = 5.0904 Å
α = 60.00°, β = 60.00°, γ = 60.00°
Fractional positions:
Pu1 0.2500 0.2500 0.2500
Pu2 0.7500 0.7500 0.7500
Tc1 0.0000 0.0000 0.0000
H1 0.2495 0.2495 0.7505
H2 0.2495 0.7505 0.2495
H3 0.2495 0.7505 0.7505
H4 0.7505 0.2495 0.2495
H5 0.7505 0.2495 0.7505
H6 0.7505 0.7505 0.2495

Computed properties:
As for the final energy: -6.93 eV per atom. The density of states at the Fermi level is 15.33 states/eV per cell. Its space-group type is Fm-3m.

=====

(8)
VASP calculation (GGA-PBE) on a relaxed PuTc2H crystal.

a = 7.6527 Å, b = 7.6527 Å, c = 7.6527 Å
α = 21.82°, β = 21.82°, γ = 21.82°
Fractional positions:
Pu1 0.0000 0.0000 0.0000
Tc1 0.1177 0.1177 0.1177
Tc2 0.8823 0.8823 0.8823
H1 0.5000 0.5000 0.5000

Computed properties:
As for the final energy: -9.22 eV per atom. The density of states at the Fermi level is 6.86 states/eV per cell. Its space-group type is R-3m.

=====

(9)
VASP calculation (GGA-PBE) on a relaxed PuTcH3 crystal.

a = 5.5886 Å, b = 3.2055 Å, c = 5.8843 Å
α = 90.00°, β = 102.54°, γ = 90.00°
Fractional positions:
Pu1 0.0000 0.0000 0.0000
Pu2 0.4357 0.0000 0.5616
Tc1 0.6163 0.0000 0.1358
Tc2 0.9170 0.5000 0.4811
H1 0.0090 0.0000 0.5899
H2 0.1421 0.5000 0.3025
H3 0.1722 0.5000 0.7095
H4 0.3623 0.0000 0.9089
H5 0.5820 0.5000 0.2964
H6 0.7549 0.5000 0.7119

Computed properties:
The energy above the lowest structure with this stoichiometry is 0.068 eV/atom. As for the final energy: -7.08 eV per atom. The density of states at the Fermi level is 12.88 states/eV per cell. Its space-group type is Pm.

=====

(10)
VASP calculation (GGA-PBE) on a relaxed Pu2ZnTcH6 crystal.

a = 5.2955 Å, b = 5.2955 Å, c = 5.2955 Å
α = 59.85°, β = 59.85°, γ = 59.85°
Fractional positions:
Pu1 0.2500 0.2500 0.2500
Pu2 0.7500 0.7500 0.7500
Zn1 0.0000 0.0000 0.0000
Tc1 0.5000 0.5000 0.5000
H1 0.2592 0.7398 0.7398
H2 0.2602 0.2602 0.7408
H3 0.2602 0.7408 0.2602
H4 0.7398 0.2592 0.7398
H5 0.7398 0.7398 0.2592
H6 0.7408 0.2602 0.2602

Computed properties:
As for the final energy: -6.21 eV per atom. The density of states at the Fermi level is 19.47 states/eV per cell. Its space-group type is R-3m.